NaSr2Hg: optimized geometry, PBE.

```
NaSr2Hg
1.0
9.420 0.000 0.000
0.000 9.420 0.000
4.710 4.710 3.890
Hg Na Sr
2 2 4
direct
0.750 0.250 0.500
0.000 0.000 0.000
0.250 0.750 0.500
0.500 0.500 0.000
0.875 0.916 0.750
0.666 0.125 0.250
0.375 0.334 0.750
0.084 0.625 0.250
```

## Properties
- E_tot: -1.323 eV/atom
- Calculated volume: 345.2 Å³ per cell